Entry 1:
LaY2Ta: optimized geometry, PBE.

a b c (Å): 4.6096 4.6096 11.4828
angles (deg): 78.42 78.42 90.00
Last column: nearest neighbours and their distance in Å.
Positions (direct):
Y: 0.6443 0.1250 0.2500  4 Y 3.14-3.39, 2 Ta 3.17, 2 La 3.23
Y: 0.1057 0.6250 0.2500  4 Y 3.14-3.39, 2 Ta 3.17, 2 La 3.23
Y: 0.3750 0.3557 0.7500  4 Y 3.14-3.39, 2 Ta 3.17, 2 La 3.23
Y: 0.8750 0.8943 0.7500  4 Y 3.14-3.39, 2 Ta 3.17, 2 La 3.23
La: 0.5000 0.5000 0.0000  4 Y 3.23, 4 Ta 3.26
La: 0.2500 0.7500 0.5000  4 Y 3.23, 4 Ta 3.26
Ta: 0.0000 0.0000 0.0000  4 Y 3.17, 4 La 3.26
Ta: 0.7500 0.2500 0.5000  4 Y 3.17, 4 La 3.26

Calculated values
**Crystal system**: tetragonal
**Polymorph energy (0 for the lowest one)**: 1.94 eV/f.u.
**Space group**: I-42d (122)
**DFT formation energy**: 0.76 eV/atom
**DFT total energy**: -53.4 eV for the cell shown

---

Entry 2:
LaYTa: optimized geometry, PBE.

a b c (Å): 5.8302 5.8302 5.8302
angles (deg): 147.85 130.33 60.41
Last column: nearest neighbours and their distance in Å.
Positions (direct):
La: 0.0081 0.0081 0.0000  5 Y 3.16-3.48, 2 La 3.23, 5 Ta 3.36-3.41
Ta: 0.6700 0.6700 0.0000  2 Ta 3.23, 5 Y 3.31-3.51, 5 La 3.36-3.41
Y: 0.3220 0.3220 0.0000  5 La 3.16-3.48, 2 Y 3.23, 5 Ta 3.31-3.51

Calculated values
**Crystal system**: orthorhombic
**Polymorph energy (0 for the lowest one)**: 0.34 eV/f.u.
**Space group**: Imm2 (44)
**DFT formation energy**: 0.47 eV/atom
**DFT total energy**: -21.8 eV for the cell shown

---

Entry 3:
LaYTa2: optimized geometry, PBE.

a b c (Å): 3.1330 3.1330 10.7925
angles (deg): 90.00 90.00 111.58
Last column: nearest neighbours and their distance in Å.
Positions (direct):
La: 0.5000 0.5000 0.7831  4 La 3.13, 2 Ta 3.22
Ta: 0.0000 0.0000 0.0329  2 Ta 2.70
Ta: 0.5000 0.5000 0.2226  2 Ta 2.70
Y: 0.0000 0.0000 0.4613  2 Ta 3.12, 4 Y 3.13

Calculated values
**Crystal system**: orthorhombic
**Polymorph energy (0 for the lowest one)**: 0.56 eV/f.u.
**Space group**: Cmm2 (35)
**DFT formation energy**: 0.38 eV/atom
**DFT total energy**: -33.6 eV for the cell shown

---

Entry 4:
La2YTa: optimized geometry, PBE.

a b c (Å): 6.3777 6.3777 6.3777
angles (deg): 143.13 129.99 63.73
Last column: nearest neighbours and their distance in Å.
Positions (direct):
La: 0.0015 0.0015 0.0000  4 Ta 3.37, 4 La 3.55-3.70, 4 Y 3.60-3.64
La: 0.7150 0.2150 0.5000  2 Ta 3.07
Ta: 0.5019 0.5019 0.0000  6 La 3.07-3.37, 2 Y 3.12
Y: 0.2816 0.7816 0.5000  2 Ta 3.12, 4 La 3.44

Calculated values
**Crystal system**: orthorhombic
**Polymorph energy (0 for the lowest one)**: 0.46 eV/f.u.
**Space group**: Imm2 (44)
**DFT formation energy**: 0.43 eV/atom
**DFT total energy**: -26.4 eV for the cell shown

---

Entry 5:
LaYTa2: optimized geometry, PBE.

a b c (Å): 4.3472 4.3472 5.0445
angles (deg): 90.00 90.00 90.00
Last column: nearest neighbours and their distance in Å.
Positions (direct):
La: 0.0000 0.5000 0.5000  4 Y 3.07, 8 Ta 3.33
Ta: 0.0000 0.0000 0.0000  4 Ta 3.07, 4 Y 3.33, 4 La 3.33
Ta: 0.5000 0.5000 0.0000  4 Ta 3.07, 4 La 3.33, 4 Y 3.33
Y: 0.5000 0.0000 0.5000  4 La 3.07, 8 Ta 3.33

Calculated values
**Crystal system**: tetragonal
**Polymorph energy (0 for the lowest one)**: 1.45 eV/f.u.
**Space group**: P4/mmm (123)
**DFT formation energy**: 0.60 eV/atom
**DFT total energy**: -32.7 eV for the cell shown

---

Entry 6:
LaYTa2: optimized geometry, PBE.

a b c (Å): 3.2357 5.4672 6.5449
angles (deg): 55.31 90.00 90.00
Last column: nearest neighbours and their distance in Å.
Positions (direct):
La: 0.0000 0.0000 0.5000  4 Y 3.18, 2 La 3.24, 6 Ta 3.26-3.27
Ta: 0.0000 0.0000 0.0000  6 Ta 3.18-3.24, 4 Y 3.26, 2 La 3.27
Ta: 0.5000 0.5000 0.0000  6 Ta 3.18-3.24, 4 La 3.26, 2 Y 3.27
Y: 0.5000 0.5000 0.5000  4 La 3.18, 2 Y 3.24, 6 Ta 3.26-3.27

Calculated values
**Crystal system**: monoclinic
**Polymorph energy (0 for the lowest one)**: 1.60 eV/f.u.
**Space group**: P2/m (10)
**DFT formation energy**: 0.64 eV/atom
**DFT total energy**: -32.5 eV for the cell shown

---

Entry 7:
LaYTa2: optimized geometry, PBE.

a b c (Å): 5.0061 5.0061 6.9304
angles (deg): 87.07 87.07 36.04
Last column: nearest neighbours and their distance in Å.
Positions (direct):
La: 0.2531 0.2531 0.2163  5 Ta 3.07-3.35, 2 La 3.10, 1 Y 3.33
Ta: 0.0074 0.0074 0.9475  5 Ta 2.77-3.10, 1 La 3.07
Ta: 0.7470 0.7470 0.7876  5 Ta 2.77-3.10, 1 Y 3.01
Y: 0.4925 0.4925 0.5486  5 Ta 3.01-3.19, 2 Y 3.10, 1 La 3.33

Calculated values
**Crystal system**: monoclinic
**Polymorph energy (0 for the lowest one)**: 0.91 eV/f.u.
**Space group**: Cm (8)
**DFT formation energy**: 0.46 eV/atom
**DFT total energy**: -33.2 eV for the cell shown

---

Entry 8:
LaYTa2: optimized geometry, PBE.

a b c (Å): 5.9004 5.9004 5.9004
angles (deg): 136.99 136.63 62.73
Last column: nearest neighbours and their distance in Å.
Positions (direct):
La: 0.2500 0.7500 0.5000  4 Y 3.07, 8 Ta 3.32-3.33
Ta: 0.9999 0.9999 0.0000  4 Ta 3.07, 4 Y 3.32-3.33, 4 La 3.32-3.33
Ta: 0.5001 0.5001 0.0000  4 Ta 3.07, 4 Y 3.32-3.33, 4 La 3.32-3.33
Y: 0.7500 0.2500 0.5000  4 La 3.07, 8 Ta 3.32-3.33

Calculated values
**Crystal system**: orthorhombic
**Polymorph energy (0 for the lowest one)**: 1.38 eV/f.u.
**Space group**: Immm (71)
**DFT formation energy**: 0.58 eV/atom
**DFT total energy**: -32.8 eV for the cell shown

---

> Which of these has the highest polymorph energy (0 for the lowest one)?

LaY2Ta

---

> Which of these has the lowest DFT formation energy?

number 3